(1)
A plane-wave DFT calculation with GGA-PBE was carried out for a relaxed structure of EuHfPt2.

Values from the calculation:
- Relative energy among the computed polymorphs: 0.1391 eV/atom
- Calculated volume: 93.84 Å³/cell
- ΔH_f (0 K): -0.8746 eV/atom
- DOS at the Fermi energy: 2.96 states/eV per atom
- Total magnetization: 7.1 Bohr magnetons per cell

Cell lengths 7.0358, 7.0358, 7.0358 Å; angles 33.37, 33.37, 33.37 degrees
Closest atoms and distances in Å follow each position.
Fractional positions:
Eu 0.0000 0.0000 0.0000  6 Pt 3.06
Hf 0.5000 0.5000 0.5000  6 Pt 2.69
Pt 0.2342 0.2342 0.2342  3 Hf 2.69
Pt 0.7658 0.7658 0.7658  3 Hf 2.69

=====

(2)
A plane-wave DFT calculation with GGA-PBE was carried out for a relaxed structure of EuHfS2.

Values from the calculation:
- Calculated volume: 81.02 Å³/cell
- DOS at the Fermi energy: 0.46 states/eV per atom
- Raw formation energy: -1.65 eV per atom
- Total magnetization: 6.9 Bohr magnetons per cell

Cell lengths 6.7904, 6.7904, 6.7904 Å; angles 32.64, 32.64, 32.64 degrees
Closest atoms and distances in Å follow each position.
Fractional positions:
Eu 0.0000 0.0000 0.0000  6 S 2.85
Hf 0.5000 0.5000 0.5000  6 S 2.61
S 0.2397 0.2397 0.2397  3 Hf 2.61, 3 Eu 2.85
S 0.7603 0.7603 0.7603  3 Hf 2.61, 3 Eu 2.85

=====

(3)
A plane-wave DFT calculation with GGA-PBE was carried out for a relaxed structure of EuHfSb2.

Values from the calculation:
- Relative energy among the computed polymorphs: 0.2134 eV/atom
- Calculated volume: 104.02 Å³/cell
- DOS at the Fermi energy: 0.76 states/eV per atom
- Raw formation energy: -0.56 eV per atom
- Total magnetization: 7.0 Bohr magnetons per cell

Cell lengths 3.6034, 3.6034, 8.0113 Å; angles 90.00, 90.00, 90.00 degrees
Closest atoms and distances in Å follow each position.
Fractional positions:
Eu 0.0000 0.0000 0.0000  8 Sb 3.41, 4 Eu 3.60
Hf 0.0000 0.0000 0.5000  8 Sb 3.08
Sb 0.5000 0.5000 0.2835  4 Hf 3.08, 4 Eu 3.41
Sb 0.5000 0.5000 0.7165  4 Hf 3.08, 4 Eu 3.41

=====

Q: Among the records above, which one has the highest total magnetization?
A: EuHfPt2